# 1
A plane-wave DFT calculation with PBE-GGA was carried out for crystalline Ca2PbI at its relaxed geometry.

Results
As for the symmetry: No. 160. The calculation puts the energy above the most stable polymorph in this dataset at 0.036 eV per atom. The uncorrected formation energy comes out at -0.784 eV/atom.

Cell: 8.9069 8.9069 8.9069 Å, 28.56 28.56 28.56°
With the nearest neighbours (Å) after each atom.
Atoms (fractional coordinates):
Ca: 0.0000 0.0000 0.0000  3 Pb 3.17, 3 I 3.53
Ca: 0.1846 0.1846 0.1846  3 Pb 3.17, 3 I 3.40
Pb: 0.5923 0.5923 0.5923  6 Ca 3.17
I: 0.7627 0.7627 0.7627  6 Ca 3.40-3.53



# 2
A plane-wave DFT calculation with PBE-GGA was carried out for crystalline CsK2I2 at its relaxed geometry.

Results
As for the symmetry: No. 139. The calculation puts the energy above the most stable polymorph in this dataset at 0.036 eV per atom. The uncorrected formation energy comes out at -1.026 eV/atom.

Cell: 9.6407 9.6407 9.6407 Å, 143.98 143.98 51.86°
With the nearest neighbours (Å) after each atom.
Atoms (fractional coordinates):
Cs: 0.0000 0.0000 0.0000  8 I 4.85, 8 K 5.26
K: 0.2500 0.7500 0.5000  4 I 3.55
K: 0.7500 0.2500 0.5000  4 I 3.55
I: 0.3613 0.3613 0.0000  4 K 3.55
I: 0.6387 0.6387 0.0000  4 K 3.55



# 3
A plane-wave DFT calculation with PBE-GGA was carried out for crystalline UNbCuO6 at its relaxed geometry.

Results
As for the symmetry: No. 163. The uncorrected formation energy comes out at -2.291 eV/atom.

Cell: 5.5053 5.5053 9.0629 Å, 90.00 90.00 120.00°
With the nearest neighbours (Å) after each atom.
Atoms (fractional coordinates):
U: 0.3333 0.6667 0.2500  6 O 2.10
U: 0.6667 0.3333 0.7500  6 O 2.10
Nb: 0.3333 0.6667 0.7500  6 O 2.03
Nb: 0.6667 0.3333 0.2500  6 O 2.03
Cu: 0.0000 0.0000 0.0000  6 O 2.30
Cu: 0.0000 0.0000 0.5000  6 O 2.30
O: 0.0101 0.3607 0.6337  1 Nb 2.03, 1 U 2.10
O: 0.0101 0.6494 0.8663  1 Nb 2.03, 1 U 2.10
O: 0.3506 0.3607 0.8663  1 Nb 2.03, 1 U 2.10
O: 0.3506 0.9899 0.6337  1 Nb 2.03, 1 U 2.10
O: 0.3607 0.0101 0.1337  1 Nb 2.03, 1 U 2.10
O: 0.3607 0.3506 0.3663  1 Nb 2.03, 1 U 2.10
O: 0.6393 0.6494 0.6337  1 Nb 2.03, 1 U 2.10
O: 0.6393 0.9899 0.8663  1 Nb 2.03, 1 U 2.10
O: 0.6494 0.0101 0.3663  1 Nb 2.03, 1 U 2.10
O: 0.6494 0.6393 0.1337  1 Nb 2.03, 1 U 2.10
O: 0.9899 0.3506 0.1337  1 Nb 2.03, 1 U 2.10
O: 0.9899 0.6393 0.3663  1 Nb 2.03, 1 U 2.10



# 4
A plane-wave DFT calculation with PBE-GGA was carried out for crystalline InTe2N2 at its relaxed geometry.

Results
As for the symmetry: No. 123. The calculation puts the energy above the most stable polymorph in this dataset at 0.187 eV per atom. The uncorrected formation energy comes out at 1.409 eV/atom.

Cell: 4.7288 4.7288 4.2732 Å, 90.00 90.00 90.00°
With the nearest neighbours (Å) after each atom.
Atoms (fractional coordinates):
In: 0.0000 0.0000 0.0000  8 Te 3.19, 4 N 3.34
Te: 0.0000 0.5000 0.5000  2 N 2.36
Te: 0.5000 0.0000 0.5000  2 N 2.36
N: 0.5000 0.5000 0.0000  2 N 2.14
N: 0.5000 0.5000 0.5000  2 N 2.14, 4 Te 2.36



# 5
A plane-wave DFT calculation with PBE-GGA was carried out for crystalline AgPtW2 at its relaxed geometry.

Results
As for the symmetry: No. 160. The calculation puts the energy above the most stable polymorph in this dataset at 0.093 eV per atom. The value obtained for the energy of formation is 0.92 eV/f.u.

Cell: 9.7176 9.7176 9.7176 Å, 16.63 16.63 16.63°
With the nearest neighbours (Å) after each atom.
Atoms (fractional coordinates):
Ag: 0.0000 0.0000 0.0000  6 Ag 2.81, 3 Pt 2.95, 3 W 2.96
Pt: 0.7523 0.7523 0.7523  3 W 2.76, 6 Pt 2.81, 3 Ag 2.95
W: 0.2473 0.2473 0.2473  9 W 2.81-2.91, 3 Ag 2.96
W: 0.4966 0.4966 0.4966  3 Pt 2.76, 9 W 2.81-2.91



# 6
A plane-wave DFT calculation with PBE-GGA was carried out for crystalline Cs2PSeCl6 at its relaxed geometry.

Results
As for the symmetry: No. 139. The uncorrected formation energy comes out at -0.933 eV/atom.

Cell: 7.3951 7.3951 7.3951 Å, 118.00 118.00 93.51°
With the nearest neighbours (Å) after each atom.
Atoms (fractional coordinates):
Cs: 0.2500 0.7500 0.5000  12 Cl 3.71-3.81
Cs: 0.7500 0.2500 0.5000  12 Cl 3.71-3.81
P: 0.0000 0.0000 0.0000  6 Cl 2.35-2.42
Se: 0.5000 0.5000 0.0000  2 Cl 2.65
Cl: 0.2181 0.2181 0.4362  1 P 2.35
Cl: 0.2181 0.7819 0.0000  1 P 2.35
Cl: 0.2384 0.2384 0.0000  1 P 2.42, 1 Se 2.65
Cl: 0.7616 0.7616 0.0000  1 P 2.42, 1 Se 2.65
Cl: 0.7819 0.2181 0.0000  1 P 2.35
Cl: 0.7819 0.7819 0.5638  1 P 2.35



# 7
A plane-wave DFT calculation with PBE-GGA was carried out for crystalline CsKH2 at its relaxed geometry.

Results
As for the symmetry: No. 123. The calculation puts the energy above the most stable polymorph in this dataset at 0.069 eV per atom.

Cell: 3.6181 3.6181 7.2503 Å, 90.00 90.00 90.00°
With the nearest neighbours (Å) after each atom.
Atoms (fractional coordinates):
Cs: 0.0000 0.0000 0.0000  8 H 3.21
K: 0.0000 0.0000 0.5000  8 H 3.06
H: 0.5000 0.5000 0.2674  4 K 3.06, 4 Cs 3.21, 1 H 3.37
H: 0.5000 0.5000 0.7326  4 K 3.06, 4 Cs 3.21, 1 H 3.37



# 8
A plane-wave DFT calculation with PBE-GGA was carried out for crystalline BaAl2Te at its relaxed geometry.

Results
As for the symmetry: No. 8. The uncorrected formation energy comes out at -0.397 eV/atom.

Cell: 4.7688 4.7688 6.8669 Å, 98.95 98.95 58.01°
With the nearest neighbours (Å) after each atom.
Atoms (fractional coordinates):
Ba: 0.0000 0.0000 0.0000  6 Al 3.46-3.67, 3 Te 3.47
Al: 0.3968 0.3968 0.3314  3 Al 2.72-2.74, 1 Te 2.75
Al: 0.7286 0.7286 0.3532  3 Al 2.72-2.74
Te: 0.2800 0.2800 0.6815  1 Al 2.75



# 9
A plane-wave DFT calculation with PBE-GGA was carried out for crystalline ErPuPdO6 at its relaxed geometry.

Results
As for the symmetry: No. 163. The uncorrected formation energy comes out at -2.190 eV/atom.

Cell: 5.3331 5.3331 9.9326 Å, 90.00 90.00 120.00°
With the nearest neighbours (Å) after each atom.
Atoms (fractional coordinates):
Er: 0.0000 0.0000 0.0000  6 O 2.27
Er: 0.0000 0.0000 0.5000  6 O 2.27
Pu: 0.3333 0.6667 0.2500  6 O 2.10
Pu: 0.6667 0.3333 0.7500  6 O 2.10
Pd: 0.3333 0.6667 0.7500  6 O 2.08
Pd: 0.6667 0.3333 0.2500  6 O 2.08
O: 0.0036 0.3470 0.6342  1 Pd 2.08, 1 Pu 2.10, 1 Er 2.27
O: 0.0036 0.6566 0.8658  1 Pd 2.08, 1 Pu 2.10, 1 Er 2.27
O: 0.3434 0.3470 0.8658  1 Pd 2.08, 1 Pu 2.10, 1 Er 2.27
O: 0.3434 0.9964 0.6342  1 Pd 2.08, 1 Pu 2.10, 1 Er 2.27
O: 0.3470 0.0036 0.1342  1 Pd 2.08, 1 Pu 2.10, 1 Er 2.27
O: 0.3470 0.3434 0.3658  1 Pd 2.08, 1 Pu 2.10, 1 Er 2.27
O: 0.6530 0.6566 0.6342  1 Pd 2.08, 1 Pu 2.10, 1 Er 2.27
O: 0.6530 0.9964 0.8658  1 Pd 2.08, 1 Pu 2.10, 1 Er 2.27
O: 0.6566 0.0036 0.3658  1 Pd 2.08, 1 Pu 2.10, 1 Er 2.27
O: 0.6566 0.6530 0.1342  1 Pd 2.08, 1 Pu 2.10, 1 Er 2.27
O: 0.9964 0.3434 0.1342  1 Pd 2.08, 1 Pu 2.10, 1 Er 2.27
O: 0.9964 0.6530 0.3658  1 Pd 2.08, 1 Pu 2.10, 1 Er 2.27



# 10
A plane-wave DFT calculation with PBE-GGA was carried out for crystalline GeSbTePd at its relaxed geometry.

Results
As for the symmetry: No. 38. The calculation puts the energy above the most stable polymorph in this dataset at 0.016 eV per atom. The uncorrected formation energy comes out at -0.131 eV/atom.

Cell: 3.9230 5.0597 5.0597 Å, 66.64 90.00 90.00°
With the nearest neighbours (Å) after each atom.
Atoms (fractional coordinates):
Ge: 0.0000 0.0000 0.0000  2 Pd 2.63, 2 Sb 2.85
Sb: 0.0000 0.5722 0.5722  2 Pd 2.71, 2 Ge 2.85
Te: 0.5000 0.2689 0.2689  2 Pd 2.79, 2 Ge 3.00
Pd: 0.5000 0.7936 0.7936  2 Ge 2.63, 2 Sb 2.71, 2 Te 2.79



# 11
A plane-wave DFT calculation with PBE-GGA was carried out for crystalline LiBeS2 at its relaxed geometry.

Results
As for the symmetry: No. 166. The uncorrected formation energy comes out at -0.448 eV/atom.

Cell: 7.3638 7.3638 7.3638 Å, 25.56 25.56 25.56°
With the nearest neighbours (Å) after each atom.
Atoms (fractional coordinates):
Li: 0.0000 0.0000 0.0000  2 S 2.26
Be: 0.5000 0.5000 0.5000  6 S 2.28
S: 0.1060 0.1060 0.1060  1 Li 2.26, 3 Be 2.28
S: 0.8940 0.8940 0.8940  1 Li 2.26, 3 Be 2.28



# 12
A plane-wave DFT calculation with PBE-GGA was carried out for crystalline TlReSi2 at its relaxed geometry.

Results
As for the symmetry: No. 35. The calculation puts the energy above the most stable polymorph in this dataset at 0.478 eV per atom. The uncorrected formation energy comes out at 0.647 eV/atom.

Cell: 3.0060 3.0060 8.6242 Å, 90.00 90.00 113.36°
With the nearest neighbours (Å) after each atom.
Atoms (fractional coordinates):
Tl: 0.0000 0.0000 0.0000  2 Re 2.97, 6 Tl 3.01-3.30, 2 Si 3.10
Re: 0.5000 0.5000 0.7142  2 Si 2.38
Si: 0.0000 0.0000 0.5161  2 Re 2.38, 2 Si 2.46
Si: 0.5000 0.5000 0.3040  2 Si 2.46



# 13
A plane-wave DFT calculation with PBE-GGA was carried out for crystalline Cs3LiPa3Te8 at its relaxed geometry.

Results
As for the symmetry: No. 166. The uncorrected formation energy comes out at -0.952 eV/atom.

Cell: 10.4644 10.4644 10.4644 Å, 50.78 50.78 50.78°
With the nearest neighbours (Å) after each atom.
Atoms (fractional coordinates):
Cs: 0.0000 0.5000 0.5000  6 Te 3.80-3.88
Cs: 0.5000 0.0000 0.5000  6 Te 3.80-3.88
Cs: 0.5000 0.5000 0.0000  6 Te 3.80-3.88
Li: 0.5000 0.5000 0.5000  6 Te 3.15
Pa: 0.0000 0.0000 0.5000  6 Te 3.07-3.13
Pa: 0.0000 0.5000 0.0000  6 Te 3.07-3.13
Pa: 0.5000 0.0000 0.0000  6 Te 3.07-3.13
Te: 0.2201 0.7330 0.7330  2 Pa 3.07, 1 Li 3.15
Te: 0.2313 0.2313 0.2313  3 Pa 3.13
Te: 0.2670 0.2670 0.7799  2 Pa 3.07, 1 Li 3.15
Te: 0.2670 0.7799 0.2670  2 Pa 3.07, 1 Li 3.15
Te: 0.7330 0.2201 0.7330  2 Pa 3.07, 1 Li 3.15
Te: 0.7330 0.7330 0.2201  2 Pa 3.07, 1 Li 3.15
Te: 0.7687 0.7687 0.7687  3 Pa 3.13
Te: 0.7799 0.2670 0.2670  2 Pa 3.07, 1 Li 3.15



Taking the records one at a time from the top gives total energy values of -3.099 -2.256 -8.425 -3.725 -8.471 -3.101 -2.270 -3.535 -8.172 -4.399 -3.921 -5.768 -4.825 eV/atom.
Taking the records one at a time from the top gives total moment values of 0.00 0.30 0.12 1.62 0.00 0.00 0.00 0.00 6.03 0.00 0.00 0.00 3.01 μB per cell.